1.
Here is crystalline HoScCd4 at its relaxed geometry from Alexandria. Energies are from PBE.

abc: 8.2247 8.2247 8.2247
angles: 90.00 90.00 90.00
Space group F-43m (No. 216)
Unique sites:
1 Ho 0.0000 0.0000 0.0000 (multiplicity 4)
2 Sc 0.2500 0.2500 0.7500 (multiplicity 4)
3 Cd 0.1249 0.1249 0.3751 (multiplicity 16)

Calculated values
Spin magnetization: 0.000 μB/atom
D(E_F): 6.19 states/eV/f.u.
Crystal system: cubic
Total energy: -15.73 eV per formula unit

2.
Here is crystalline Ho2ScCd at its relaxed geometry from Alexandria. Energies are from PBE.

abc: 5.2689 5.2689 3.8371
angles: 90.00 90.00 90.00
Space group P4/mmm (No. 123)
Unique sites:
1 Ho 0.0000 0.5000 0.0000 (multiplicity 2)
2 Sc 0.0000 0.0000 0.5000 (multiplicity 1)
3 Cd 0.5000 0.5000 0.5000 (multiplicity 1)

Calculated values
Spin magnetization: 0.000 μB/atom
D(E_F): 5.60 states/eV/f.u.
Crystal system: tetragonal
Total energy: -16.72 eV per formula unit

3.
Here is crystalline Ho3ScCd4 at its relaxed geometry from Alexandria. Energies are from PBE.

abc: 3.6718 3.6718 14.8015
angles: 90.00 90.00 90.00
Space group P4/mmm (No. 123)
Unique sites:
1 Ho 0.0000 0.0000 0.0000 (multiplicity 1)
2 Ho 0.0000 0.0000 0.2563 (multiplicity 2)
3 Sc 0.0000 0.0000 0.5000 (multiplicity 1)
4 Cd 0.5000 0.5000 0.1278 (multiplicity 2)
5 Cd 0.5000 0.5000 0.3874 (multiplicity 2)

Calculated values
Spin magnetization: 0.000 μB/atom
D(E_F): 8.13 states/eV/f.u.
Crystal system: tetragonal
Total energy: -26.17 eV per formula unit

4.
Here is crystalline HoScCd3 at its relaxed geometry from Alexandria. Energies are from PBE.

abc: 15.8215 4.6073 6.4594
angles: 90.00 94.13 90.00
Space group C2/m (No. 12)
Unique sites:
1 Ho 0.1063 0.0000 0.0611 (multiplicity 4)
2 Sc 0.1995 0.5000 0.3741 (multiplicity 4)
3 Cd 0.0006 0.5000 0.7477 (multiplicity 4)
4 Cd 0.0967 0.0000 0.5589 (multiplicity 4)
5 Cd 0.2009 0.5000 0.8453 (multiplicity 4)

Calculated values
Spin magnetization: 0.027 μB/atom
D(E_F): 3.49 states/eV/f.u.
Crystal system: monoclinic
Total energy: -14.73 eV per formula unit

5.
Here is crystalline Ho2ScCd at its relaxed geometry from Alexandria. Energies are from PBE.

abc: 3.4775 3.4775 31.6373
angles: 90.00 90.00 120.00
Space group R-3m (No. 166, hexagonal axes)
Unique sites:
1 Ho 0.0000 0.0000 0.2481 (multiplicity 6)
2 Sc 0.0000 0.0000 0.0000 (multiplicity 3)
3 Cd 0.0000 0.0000 0.5000 (multiplicity 3)

Calculated values
Spin magnetization: 0.000 μB/atom
D(E_F): 5.84 states/eV/f.u.
Crystal system: trigonal
Total energy: -16.57 eV per formula unit

6.
Here is crystalline HoSc2Cd at its relaxed geometry from Alexandria. Energies are from PBE.

abc: 12.0405 3.5893 5.1659
angles: 90.00 115.32 90.00
Space group C2/m (No. 12)
Unique sites:
1 Ho 0.0000 0.0000 0.0000 (multiplicity 2)
2 Sc 0.2262 0.0000 0.7262 (multiplicity 4)
3 Cd 0.0000 0.5000 0.5000 (multiplicity 2)

Calculated values
Spin magnetization: 0.000 μB/atom
D(E_F): 4.93 states/eV/f.u.
Crystal system: monoclinic
Total energy: -18.67 eV per formula unit

7.
Here is crystalline Ho2ScCd at its relaxed geometry from Alexandria. Energies are from PBE.

abc: 3.5083 3.5083 8.7761
angles: 90.00 90.00 90.00
Space group P4/mmm (No. 123)
Unique sites:
1 Ho 0.0000 0.0000 0.2424 (multiplicity 2)
2 Sc 0.5000 0.5000 0.5000 (multiplicity 1)
3 Cd 0.5000 0.5000 0.0000 (multiplicity 1)

Calculated values
Spin magnetization: 0.000 μB/atom
D(E_F): 5.76 states/eV/f.u.
Crystal system: tetragonal
Total energy: -16.92 eV per formula unit

8.
Here is crystalline Ho2ScCd3 at its relaxed geometry from Alexandria. Energies are from PBE.

abc: 3.6580 3.6580 11.0393
angles: 90.00 90.00 90.00
Space group P4/mmm (No. 123)
Unique sites:
1 Ho 0.0000 0.0000 0.1723 (multiplicity 2)
2 Sc 0.0000 0.0000 0.5000 (multiplicity 1)
3 Cd 0.5000 0.5000 0.0000 (multiplicity 1)
4 Cd 0.5000 0.5000 0.3482 (multiplicity 2)

Calculated values
Spin magnetization: 0.000 μB/atom
D(E_F): 5.74 states/eV/f.u.
Crystal system: tetragonal
Total energy: -20.06 eV per formula unit

9.
Here is crystalline HoScCdSn at its relaxed geometry from Alexandria. Energies are from PBE.

abc: 7.2739 7.2739 7.2739
angles: 90.00 90.00 90.00
Space group F-43m (No. 216)
Unique sites:
1 Ho 0.0000 0.0000 0.0000 (multiplicity 4)
2 Sc 0.0000 0.0000 0.5000 (multiplicity 4)
3 Cd 0.2500 0.2500 0.2500 (multiplicity 4)
4 Sn 0.2500 0.2500 0.7500 (multiplicity 4)

Calculated values
Spin magnetization: 0.000 μB/atom
D(E_F): 3.01 states/eV/f.u.
Crystal system: cubic
Total energy: -17.62 eV per formula unit

10.
Here is crystalline HoScCdTc at its relaxed geometry from Alexandria. Energies are from PBE.

abc: 6.9236 6.9236 6.9236
angles: 90.00 90.00 90.00
Space group F-43m (No. 216)
Unique sites:
1 Ho 0.0000 0.0000 0.0000 (multiplicity 4)
2 Sc 0.0000 0.0000 0.5000 (multiplicity 4)
3 Cd 0.2500 0.2500 0.2500 (multiplicity 4)
4 Tc 0.2500 0.2500 0.7500 (multiplicity 4)

Calculated values
Spin magnetization: 0.000 μB/atom
D(E_F): 3.35 states/eV/f.u.
Crystal system: cubic
Total energy: -22.74 eV per formula unit

11.
Here is crystalline HoThScCd at its relaxed geometry from Alexandria. Energies are from PBE.

abc: 7.6097 7.6097 7.6097
angles: 90.00 90.00 90.00
Space group F-43m (No. 216)
Unique sites:
1 Ho 0.0000 0.0000 0.0000 (multiplicity 4)
2 Th 0.0000 0.0000 0.5000 (multiplicity 4)
3 Sc 0.2500 0.2500 0.2500 (multiplicity 4)
4 Cd 0.2500 0.2500 0.7500 (multiplicity 4)

Calculated values
Spin magnetization: 0.251 μB/atom
D(E_F): 5.96 states/eV/f.u.
Crystal system: cubic
Total energy: -19.17 eV per formula unit

12.
Here is crystalline HoThScCd at its relaxed geometry from Alexandria. Energies are from PBE.

abc: 3.5465 3.5465 8.5208
angles: 90.00 90.00 90.00
Space group P4mm (No. 99)
Unique sites:
1 Ho 0.0000 0.0000 0.0000 (multiplicity 1)
2 Th 0.5000 0.5000 0.2848 (multiplicity 1)
3 Sc 0.0000 0.0000 0.5462 (multiplicity 1)
4 Cd 0.5000 0.5000 0.7558 (multiplicity 1)

Calculated values
Spin magnetization: 0.000 μB/atom
D(E_F): 4.79 states/eV/f.u.
Crystal system: tetragonal
Total energy: -19.87 eV per formula unit